Pm2Pr6Ho3Tm, optimized geometry, DFT PBE; spin magnetization = 0.00 μB/cell; mass density = 7.34 g cm⁻³; energy of formation = 1.26 kJ per mole of atoms; DOS(E_F) = 13.93 states/eV/f.u.; symmetry = C2/m
1.0
3.1599 -5.4742 0.0000
3.1599 5.4742 0.0000
-2.1027 0.0000 11.7585
Pm Pr Ho Tm
2 6 3 1
direct
0.1668 0.8332 0.0000
0.8332 0.1668 0.0000
0.0837 0.4158 0.7480
0.2518 0.2518 0.2525
0.4158 0.0837 0.7480
0.5842 0.9163 0.2520
0.7482 0.7482 0.7475
0.9163 0.5842 0.2520
0.0000 0.0000 0.5000
0.3335 0.6665 0.5000
0.6665 0.3335 0.5000
0.5000 0.5000 0.0000